Computed, not measured: SiP3Pb at its PBEsol-relaxed geometry at the SCAN level of DFT.

Cell lengths 4.581, 4.581, 4.581 Å; angles 90.00, 90.00, 90.00 degrees
Space group Pm-3m (No. 221)
Asymmetric unit:
1 Si 0.000 0.000 0.000 (multiplicity 1)
2 P 0.000 0.000 0.500 (multiplicity 3)
3 Pb 0.500 0.500 0.500 (multiplicity 1)

Values from the calculation:
Formation energy from raw total energies   0.602 eV/atom
Total DFT energy (no corrections)   -22.80 eV per atom
Density of states at the Fermi level   3.30 states/eV/f.u.
Density   5.67 g cm⁻³